No. 1
# Zn3AuCl (PBE-GGA, relaxed)
# * magnetic moment: 0.00 μB per formula unit
# * crystal system: cubic
# * E_tot: -1.170 eV/atom
data_Zn3AuCl
_cell_length_a 4.852
_cell_length_b 4.852
_cell_length_c 4.852
_cell_angle_alpha 90.00
_cell_angle_beta 90.00
_cell_angle_gamma 90.00
_symmetry_space_group_name_H-M 'P m -3 m'
_symmetry_Int_Tables_number 221
_symmetry_space_group_name_Hall '-P 4 2 3'
loop_
_atom_site_label
_atom_site_type_symbol
_atom_site_fract_x
_atom_site_fract_y
_atom_site_fract_z
Zn1 Zn 0.000 0.000 0.500
Au1 Au 0.500 0.500 0.500
Cl1 Cl 0.000 0.000 0.000

No. 2
# HoAgRh4 (PBE-GGA, relaxed)
# * magnetic moment: 0.30 μB per formula unit
# * formation enthalpy at 0 K: -31 kJ per mole of atoms
# * crystal system: cubic
# * E_tot: -6.459 eV/atom
data_HoAgRh4
_cell_length_a 7.420
_cell_length_b 7.420
_cell_length_c 7.420
_cell_angle_alpha 90.00
_cell_angle_beta 90.00
_cell_angle_gamma 90.00
_symmetry_space_group_name_H-M 'F -4 3 m'
_symmetry_Int_Tables_number 216
_symmetry_space_group_name_Hall 'F -4 2 3'
loop_
_atom_site_label
_atom_site_type_symbol
_atom_site_fract_x
_atom_site_fract_y
_atom_site_fract_z
Ho1 Ho 0.000 0.000 0.000
Ag1 Ag 0.250 0.250 0.750
Rh1 Rh 0.125 0.125 0.375

No. 3
# Ba3Pt (PBE-GGA, relaxed)
# * magnetic moment: 0.00 μB per formula unit
# * formation enthalpy at 0 K: -8 kJ per mole of atoms
# * crystal system: tetragonal
# * E_tot: -3.031 eV/atom
data_Ba3Pt
_cell_length_a 5.053
_cell_length_b 5.053
_cell_length_c 28.305
_cell_angle_alpha 90.00
_cell_angle_beta 90.00
_cell_angle_gamma 90.00
_symmetry_space_group_name_H-M 'I 4/m m m'
_symmetry_Int_Tables_number 139
_symmetry_space_group_name_Hall '-I 4 2'
loop_
_atom_site_label
_atom_site_type_symbol
_atom_site_fract_x
_atom_site_fract_y
_atom_site_fract_z
Ba1 Ba 0.000 0.000 0.118
Ba2 Ba 0.000 0.500 0.000
Ba3 Ba 0.000 0.500 0.250
Pt1 Pt 0.000 0.000 0.423